a.
The following is a PBE-GGA calculation of a relaxed structure of Ac2Pm12Y5, from Alexandria.

Its crystal system is monoclinic. The value obtained for the calculated volume is 35.8 Å³ per atom.

The structure belongs to space group C2/m (No. 12); the cell edges are 15.815, 9.797 and 8.895 Å and the angles 90.00°, 99.39° and 90.00°. The inequivalent atoms are Ac at (0.000, 0.181, 0.000), Pm at (0.024, 0.000, 0.671), Pm at (0.074, 0.500, 0.907), Pm at (0.124, 0.315, 0.301), Pm at (0.166, 0.258, 0.720), Y at (0.000, 0.500, 0.500), Y at (0.201, 0.000, 0.030) and Y at (0.208, 0.000, 0.433).

=====

b.
The following is a PBE-GGA calculation of a relaxed structure of Ac2Pm12Y5, from Alexandria.

Its crystal system is triclinic. The value obtained for the calculated volume is 34.8 Å³ per atom.

The structure belongs to space group P-1 (No. 2); the cell edges are 6.320, 9.728 and 10.999 Å and the angles 100.88°, 95.30° and 90.03°. The inequivalent atoms are Ac at (0.105, 0.418, 0.135), Pm at (0.054, 0.208, 0.813), Pm at (0.158, 0.634, 0.451), Pm at (0.262, 0.049, 0.079), Pm at (0.317, 0.260, 0.397), Pm at (0.424, 0.689, 0.030), Pm at (0.472, 0.896, 0.344), Y at (0.000, 0.000, 0.500), Y at (0.216, 0.846, 0.761) and Y at (0.369, 0.472, 0.706).

=====

Stability comparison, relative energies in meV per atom: a 202; b 0

=====

a.
The following is a PBE-GGA calculation of a relaxed structure of AcPm3Y4, from Alexandria.

Its crystal system is orthorhombic. The value obtained for the calculated volume is 34.8 Å³ per atom.

The structure belongs to space group Pmn2_1 (No. 31); the cell edges are 11.721, 7.425 and 6.402 Å and the angles 90.00°, 90.00° and 90.00°. The inequivalent atoms are Ac at (0.000, 0.125, 0.000), Pm at (0.000, 0.869, 0.494), Pm at (0.248, 0.128, 0.660), Y at (0.000, 0.381, 0.496), Y at (0.000, 0.623, 0.995) and Y at (0.248, 0.621, 0.660).

=====

b.
The following is a PBE-GGA calculation of a relaxed structure of AcPm3Y4, from Alexandria.

Its crystal system is orthorhombic. The value obtained for the calculated volume is 34.7 Å³ per atom.

The structure belongs to space group Immm (No. 71); the cell edges are 3.510, 11.864 and 13.351 Å and the angles 90.00°, 90.00° and 90.00°. The inequivalent atoms are Ac at (0.000, 0.000, 0.000), Pm at (0.000, 0.000, 0.500), Pm at (0.000, 0.500, 0.257) and Y at (0.000, 0.254, 0.136).

=====

Stability comparison, relative energies in meV per atom: a 0; b 117

=====

a.
The following is a PBE-GGA calculation of a relaxed structure of Ac2Pm3Y4, from Alexandria.

Its crystal system is monoclinic. The value obtained for the calculated volume is 35.6 Å³ per atom.

The structure belongs to space group C2/m (No. 12); the cell edges are 16.801, 6.072 and 6.539 Å and the angles 90.00°, 105.99° and 90.00°. The inequivalent atoms are Ac at (0.169, 0.000, 0.346), Pm at (0.000, 0.500, 0.000), Pm at (0.102, 0.500, 0.560), Y at (0.059, 0.000, 0.778) and Y at (0.218, 0.500, 0.079).

=====

b.
The following is a PBE-GGA calculation of a relaxed structure of Ac2Pm3Y4, from Alexandria.

Its crystal system is trigonal. The value obtained for the calculated volume is 36.2 Å³ per atom.

The structure belongs to space group P3m1 (No. 156); the cell edges are 3.7191, 3.7191 and 27.1917 Å and the angles 90.00°, 90.00° and 120.00°. The inequivalent atoms are Ac at (0.0000, 0.0000, 0.0000), Ac at (0.0000, 0.0000, 0.2309), Pm at (0.0000, 0.0000, 0.7817), Pm at (0.3333, 0.6667, 0.1180), Pm at (0.3333, 0.6667, 0.4662), Y at (0.0000, 0.0000, 0.3624), Y at (0.0000, 0.0000, 0.5732), Y at (0.3333, 0.6667, 0.6757) and Y at (0.3333, 0.6667, 0.8873).

=====

Stability comparison, relative energies in meV per atom: a 31; b 0

=====

a.
The following is a PBE-GGA calculation of a relaxed structure of AcPm6Y4, from Alexandria.

Its crystal system is orthorhombic. The value obtained for the calculated volume is 34.8 Å³ per atom.

The structure belongs to space group Cmcm (No. 63); the cell edges are 5.972, 9.850 and 26.012 Å and the angles 90.00°, 90.00° and 90.00°. The inequivalent atoms are Ac at (0.000, 0.216, 0.250), Pm at (0.000, 0.120, 0.680), Pm at (0.000, 0.200, 0.097), Pm at (0.000, 0.442, 0.750), Pm at (0.000, 0.500, 0.000), Y at (0.000, 0.150, 0.543) and Y at (0.000, 0.456, 0.624).

=====

b.
The following is a PBE-GGA calculation of a relaxed structure of AcPm6Y4, from Alexandria.

Its crystal system is tetragonal. The value obtained for the calculated volume is 37.0 Å³ per atom.

The structure belongs to space group I-42m (No. 121); the cell edges are 7.808, 7.808 and 13.347 Å and the angles 90.00°, 90.00° and 90.00°. The inequivalent atoms are Ac at (0.000, 0.000, 0.000), Pm at (0.000, 0.500, 0.000), Pm at (0.244, 0.244, 0.190) and Y at (0.162, 0.162, 0.422).

=====

Stability comparison, relative energies in meV per atom: a 0; b 252

=====

a.
The following is a PBE-GGA calculation of a relaxed structure of Ac2Pm4Y5, from Alexandria.

Its crystal system is monoclinic. The value obtained for the calculated volume is 36.0 Å³ per atom.

The structure belongs to space group C2/m (No. 12); the cell edges are 16.837, 6.862 and 6.945 Å and the angles 90.00°, 99.11° and 90.00°. The inequivalent atoms are Ac at (0.201, 0.000, 0.303), Pm at (0.084, 0.500, 0.398), Pm at (0.246, 0.000, 0.812), Y at (0.000, 0.000, 0.500) and Y at (0.088, 0.260, 0.900).

=====

b.
The following is a PBE-GGA calculation of a relaxed structure of Ac2Pm4Y5, from Alexandria.

Its crystal system is monoclinic. The value obtained for the calculated volume is 36.1 Å³ per atom.

The structure belongs to space group C2/m (No. 12); the cell edges are 24.685, 3.688 and 9.402 Å and the angles 90.00°, 111.81° and 90.00°. The inequivalent atoms are Ac at (0.112, 0.000, 0.424), Pm at (0.044, 0.000, 0.713), Pm at (0.184, 0.500, 0.836), Y at (0.000, 0.500, 0.000), Y at (0.131, 0.000, 0.072) and Y at (0.233, 0.500, 0.337).

=====

Stability comparison, relative energies in meV per atom: a 19; b 0

=====

a.
The following is a PBE-GGA calculation of a relaxed structure of Ac3PmY, from Alexandria.

Its crystal system is orthorhombic. The value obtained for the calculated volume is 41.4 Å³ per atom.

The structure belongs to space group Pnna (No. 52); the cell edges are 6.595, 9.436 and 13.301 Å and the angles 90.00°, 90.00° and 90.00°. The inequivalent atoms are Ac at (0.089, 0.174, 0.071), Ac at (0.145, 0.250, 0.750), Pm at (0.250, 0.000, 0.558) and Y at (0.250, 0.000, 0.304).

=====

b.
The following is a PBE-GGA calculation of a relaxed structure of Ac3PmY, from Alexandria.

Its crystal system is monoclinic. The value obtained for the calculated volume is 40.4 Å³ per atom.

The structure belongs to space group C2/m (No. 12); the cell edges are 23.591, 3.907 and 9.040 Å and the angles 90.00°, 104.17° and 90.00°. The inequivalent atoms are Ac at (0.016, 0.000, 0.237), Ac at (0.118, 0.500, 0.010), Ac at (0.184, 0.000, 0.382), Pm at (0.216, 0.000, 0.815) and Y at (0.089, 0.500, 0.591).

=====

Stability comparison, relative energies in meV per atom: a 121; b 0

=====

a.
The following is a PBE-GGA calculation of a relaxed structure of AcPm2Y6, from Alexandria.

Its crystal system is monoclinic. The value obtained for the calculated volume is 36.3 Å³ per atom.

The structure belongs to space group P2_1/c (No. 14); the cell edges are 8.754, 6.014 and 12.743 Å and the angles 90.00°, 102.81° and 90.00°. The inequivalent atoms are Ac at (0.000, 0.000, 0.000), Pm at (0.443, 0.164, 0.165), Y at (0.132, 0.726, 0.763), Y at (0.281, 0.199, 0.875) and Y at (0.341, 0.653, 0.040).

=====

b.
The following is a PBE-GGA calculation of a relaxed structure of AcPm2Y6, from Alexandria.

Its crystal system is monoclinic. The value obtained for the calculated volume is 34.0 Å³ per atom.

The structure belongs to space group C2/c (No. 15); the cell edges are 10.901, 17.816 and 6.335 Å and the angles 90.00°, 95.10° and 90.00°. The inequivalent atoms are Ac at (0.000, 0.250, 0.250), Pm at (0.250, 0.096, 0.500), Y at (0.090, 0.077, 0.992), Y at (0.090, 0.423, 0.993) and Y at (0.159, 0.250, 0.772).

=====

Stability comparison, relative energies in meV per atom: a 142; b 0

=====

a.
The following is a PBE-GGA calculation of a relaxed structure of AcPm7Y12, from Alexandria.

Its crystal system is cubic. The value obtained for the calculated volume is 37.0 Å³ per atom.

The structure belongs to space group Im-3m (No. 229); the cell edges are 11.394, 11.394 and 11.394 Å and the angles 90.00°, 90.00° and 90.00°. The inequivalent atoms are Ac at (0.000, 0.000, 0.000), Pm at (0.000, 0.000, 0.500), Pm at (0.250, 0.250, 0.250) and Y at (0.000, 0.254, 0.254).

=====

b.
The following is a PBE-GGA calculation of a relaxed structure of AcPm7Y12, from Alexandria.

Its crystal system is trigonal. The value obtained for the calculated volume is 34.8 Å³ per atom.

The structure belongs to space group R-3 (No. 148, hexagonal axes); the cell edges are 12.2238, 12.2238 and 16.1363 Å and the angles 90.00°, 90.00° and 120.00°. The inequivalent atoms are Ac at (0.0000, 0.0000, 0.0000), Pm at (0.0000, 0.0000, 0.5000), Pm at (0.0473, 0.1894, 0.7958), Y at (0.0099, 0.4410, 0.7151) and Y at (0.0507, 0.5875, 0.0851).

=====

Stability comparison, relative energies in meV per atom: a 373; b 0